Entry from OQMD via LeMat-Bulk: a relaxed structure of PmHfGe (PBE).

Summary:
The energy comes out at -5.66 eV/atom. The energy relative to the lowest polymorph listed for this composition comes out at 1014 meV per atom. As for the space group: F-43m (216).

Cell lengths 4.9276, 4.9276, 4.9276 Å; angles 60.00, 60.00, 60.00 degrees
Closest atoms and distances in Å follow each position.
Fractional positions:
Pm: 0.0000 0.0000 0.0000  4 Ge 3.02, 4 Hf 3.02
Hf: 0.2500 0.2500 0.2500  4 Pm 3.02
Ge: 0.7500 0.7500 0.7500  4 Pm 3.02



Entry from OQMD via LeMat-Bulk: a relaxed structure of PmHfGe (PBE).

Summary:
The energy comes out at -6.67 eV/atom. The energy relative to the lowest polymorph listed for this composition comes out at 0 meV per atom. As for the space group: F-43m (216).

Cell lengths 4.7520, 4.7520, 4.7520 Å; angles 60.00, 60.00, 60.00 degrees
Closest atoms and distances in Å follow each position.
Fractional positions:
Pm: 0.0000 0.0000 0.0000  4 Ge 2.91
Hf: 0.5000 0.5000 0.5000  4 Ge 2.91
Ge: 0.7500 0.7500 0.7500  4 Pm 2.91, 4 Hf 2.91



Entry from OQMD via LeMat-Bulk: a relaxed structure of HfGePt2 (PBE).

Summary:
The energy comes out at -7.25 eV/atom. As for the space group: F-43m (216).

Cell lengths 4.5736, 4.5736, 4.5736 Å; angles 60.00, 60.00, 60.00 degrees
Closest atoms and distances in Å follow each position.
Fractional positions:
Hf: 0.0000 0.0000 0.0000  4 Ge 2.80, 4 Pt 2.80
Ge: 0.7500 0.7500 0.7500  4 Pt 2.80, 4 Hf 2.80
Pt: 0.2500 0.2500 0.2500  4 Pt 2.80, 4 Hf 2.80
Pt: 0.5000 0.5000 0.5000  4 Ge 2.80, 4 Pt 2.80



Entry from OQMD via LeMat-Bulk: a relaxed structure of HfGePt (PBE).

Summary:
The energy comes out at -7.79 eV/atom. As for the space group: Pnma (62).

Cell lengths 6.6554, 3.9894, 7.7161 Å; angles 90.00, 90.00, 90.00 degrees
Closest atoms and distances in Å follow each position.
Fractional positions:
Hf: 0.0288 0.2500 0.1817  5 Ge 2.77-2.90, 5 Pt 3.03-3.08
Hf: 0.4712 0.7500 0.6817  5 Ge 2.77-2.90, 5 Pt 3.03-3.08
Hf: 0.5288 0.2500 0.3183  5 Ge 2.77-2.90, 5 Pt 3.03-3.08
Hf: 0.9712 0.7500 0.8183  5 Ge 2.77-2.90, 5 Pt 3.03-3.08
Ge: 0.2480 0.7500 0.3776  4 Pt 2.52-2.66, 3 Hf 2.77-2.78
Ge: 0.2520 0.2500 0.8776  4 Pt 2.52-2.66, 3 Hf 2.77-2.78
Ge: 0.7480 0.7500 0.1224  4 Pt 2.52-2.66, 3 Hf 2.77-2.78
Ge: 0.7520 0.2500 0.6224  4 Pt 2.52-2.66, 3 Hf 2.77-2.78
Pt: 0.1456 0.2500 0.5640  4 Ge 2.52-2.66
Pt: 0.3544 0.7500 0.0640  4 Ge 2.52-2.66
Pt: 0.6456 0.2500 0.9360  4 Ge 2.52-2.66
Pt: 0.8544 0.7500 0.4360  4 Ge 2.52-2.66



Entry from OQMD via LeMat-Bulk: a relaxed structure of HfGePt (PBE).

Summary:
The energy comes out at -7.54 eV/atom. As for the space group: Pnma (62).

Cell lengths 5.4535, 4.1198, 9.6317 Å; angles 90.00, 90.00, 90.00 degrees
Closest atoms and distances in Å follow each position.
Fractional positions:
Hf: 0.2127 0.2500 0.1513  4 Pt 2.70-2.97, 5 Ge 2.78-3.01
Hf: 0.2873 0.7500 0.6513  4 Pt 2.70-2.97, 5 Ge 2.78-3.01
Hf: 0.7127 0.2500 0.3487  4 Pt 2.70-2.97, 5 Ge 2.78-3.01
Hf: 0.7873 0.7500 0.8487  4 Pt 2.70-2.97, 5 Ge 2.78-3.01
Ge: 0.1295 0.2500 0.8427  2 Pt 2.59, 4 Hf 2.78-2.90
Ge: 0.3705 0.7500 0.3427  2 Pt 2.59, 4 Hf 2.78-2.90
Ge: 0.6295 0.2500 0.6573  2 Pt 2.59, 4 Hf 2.78-2.90
Ge: 0.8705 0.7500 0.1573  2 Pt 2.59, 4 Hf 2.78-2.90
Pt: 0.1687 0.2500 0.4587  2 Ge 2.59, 3 Hf 2.70-2.85, 2 Pt 2.87
Pt: 0.3313 0.7500 0.9587  2 Ge 2.59, 3 Hf 2.70-2.85, 2 Pt 2.87
Pt: 0.6687 0.2500 0.0413  2 Ge 2.59, 3 Hf 2.70-2.85, 2 Pt 2.87
Pt: 0.8313 0.7500 0.5413  2 Ge 2.59, 3 Hf 2.70-2.85, 2 Pt 2.87



Entry from OQMD via LeMat-Bulk: a relaxed structure of HfGePt (PBE).

Summary:
The energy comes out at -7.70 eV/atom. As for the space group: P-62m (189).

Cell lengths 6.8683, 6.8683, 3.9206 Å; angles 90.00, 90.00, 120.00 degrees
Closest atoms and distances in Å follow each position.
Fractional positions:
Hf: 0.0000 0.5984 0.0000  5 Pt 2.76-2.87, 2 Ge 3.01
Hf: 0.4016 0.4016 0.0000  5 Pt 2.76-2.87, 2 Ge 3.01
Hf: 0.5984 0.0000 0.0000  5 Pt 2.76-2.87, 2 Ge 3.01
Ge: 0.0000 0.2661 0.5000  4 Pt 2.55-2.68
Ge: 0.2661 0.0000 0.5000  4 Pt 2.55-2.68
Ge: 0.7339 0.7339 0.5000  4 Pt 2.55-2.68
Pt: 0.0000 0.0000 0.0000  6 Ge 2.68, 3 Hf 2.76
Pt: 0.3333 0.6667 0.5000  3 Ge 2.55
Pt: 0.6667 0.3333 0.5000  3 Ge 2.55